CsMnB2F | PBE+U | optimized geometry

The crystal system is tetragonal. The calculation puts the uncorrected energy at -3.235 eV/atom. The space-group type is P4/mmm, No. 123.

Geometry as CIF:
```
data_CsMnB2F
_chemical_formula_sum 'Cs1 Mn1 B2 F1'
_cell_length_a 4.718
_cell_length_b 4.718
_cell_length_c 5.127
_cell_angle_alpha 90.00
_cell_angle_beta 90.00
_cell_angle_gamma 90.00
_symmetry_space_group_name_H-M 'P 1'
_symmetry_Int_Tables_number 1
loop_
_symmetry_equiv_pos_as_xyz
'x,y,z'
loop_
_atom_site_label
_atom_site_fract_x
_atom_site_fract_y
_atom_site_fract_z
Cs1 0.000 0.000 0.000
Mn1 0.500 0.500 0.000
B1 0.000 0.500 0.500
B2 0.500 0.000 0.500
F1 0.000 0.000 0.500
```